No. 1
## HoScB2O6 (PBE)

Data for crystalline HoScB2O6 at its relaxed geometry.

Unit cell a=4.8962 b=4.8962 c=16.0461 alpha=90.00 beta=90.00 gamma=120.00
With the nearest neighbours (Å) after each atom.
Space group R-3 (No. 148, hexagonal axes)
Symmetry-distinct sites (fractional):
Ho  0.0000  0.0000  0.0000 [3 per cell]  6 O 2.30
Sc  0.0000  0.0000  0.5000 [3 per cell]  6 O 2.14
B  0.0000  0.0000  0.2455 [6 per cell]  3 O 1.39
O  0.0173  0.2916  0.2468 [18 per cell]  1 B 1.39

Properties
raw formation energy = -30.7 eV/f.u.
N(E_F) = 0.00 states/eV per cell

---

No. 2
## LiHBrCl (PBE)

Data for crystalline LiHBrCl at its relaxed geometry.

Unit cell a=4.0301 b=4.0373 c=6.5850 alpha=100.68 beta=96.73 gamma=119.76
With the nearest neighbours (Å) after each atom.
Space group P1 (No. 1)
Symmetry-distinct sites (fractional):
Li  0.0000  0.0000  0.0000 [1 per cell]  3 Cl 2.39-2.42
H  0.2596  0.3389  0.5868 [1 per cell]  1 Br 1.48
Br  0.3168  0.1041  0.4101 [1 per cell]  1 H 1.48
Cl  0.2952  0.6150  0.9091 [1 per cell]  1 H 2.16, 3 Li 2.39-2.42

Properties
N(E_F) = 0.00 states/eV per cell
energy above the most stable polymorph in this dataset = 25 meV/atom

---

No. 3
## La7Pm4Ho (PBE)

Data for crystalline La7Pm4Ho at its relaxed geometry.

Unit cell a=6.4545 b=7.4140 c=9.2160 alpha=90.08 beta=103.44 gamma=90.02
With the nearest neighbours (Å) after each atom.
Space group P-1 (No. 2)
Symmetry-distinct sites (fractional):
La  0.0000  0.0000  0.0000 [1 per cell]  4 Pm 3.64-3.67, 6 La 3.68-3.73, 2 Ho 3.71
La  0.2196  0.4991  0.6678 [2 per cell]  1 Ho 3.66, 6 La 3.67-3.72, 5 Pm 3.70-3.74
La  0.2805  0.7501  0.3321 [2 per cell]  5 La 3.67-3.72, 1 Ho 3.67, 6 Pm 3.70-3.74
La  0.5001  0.2515  0.0009 [2 per cell]  3 Pm 3.64-3.68, 7 La 3.67-3.73, 2 Ho 3.72
Pm  0.2223  0.9999  0.6678 [2 per cell]  8 La 3.67-3.74, 4 Pm 3.70-3.72
Pm  0.2773  0.2499  0.3287 [2 per cell]  8 La 3.64-3.74, 1 Ho 3.65, 3 Pm 3.72
Ho  0.0000  0.5000  0.0000 [1 per cell]  2 Pm 3.65, 10 La 3.66-3.72

Properties
N(E_F) = 19.23 states/eV per cell
ΔH_f (0 K) = 0.018 eV per atom
energy above the most stable polymorph in this dataset = 0 meV/atom

---

No. 4
## SrOsPt2 (PBE)

Data for crystalline SrOsPt2 at its relaxed geometry.

Unit cell a=6.1764 b=8.1165 c=2.8488 alpha=90.00 beta=90.00 gamma=90.00
With the nearest neighbours (Å) after each atom.
Space group Cmmm (No. 65)
Symmetry-distinct sites (fractional):
Sr  0.0000  0.0000  0.0000 [2 per cell]  2 Sr 2.85, 8 Pt 2.92, 2 Os 3.09
Os  0.0000  0.5000  0.0000 [2 per cell]  2 Os 2.85, 8 Pt 2.92, 2 Sr 3.09
Pt  0.2500  0.2500  0.5000 [4 per cell]  4 Pt 2.85-3.09, 4 Sr 2.92, 4 Os 2.92

Properties
N(E_F) = 9.10 states/eV per cell
ΔH_f (0 K) = 0.142 eV per atom
energy above the most stable polymorph in this dataset = 110 meV/atom